{
  "formula": "Ce2AsH2Cl",
  "functional": "PBE-GGA",
  "state": "optimized geometry",
  "cell": [[4.0019, 0.0000, 0.0000], [-2.0009, 3.4657, 0.0000], [0.0000, 0.0000, 7.8782]],
  "species": ["Ce", "Ce", "As", "H", "H", "Cl"],
  "frac_coords": [[0.3333, 0.6667, 0.2652], [0.6667, 0.3333, 0.7348], [0.0000, 0.0000, 0.5000], [0.3333, 0.6667, 0.7612], [0.6667, 0.3333, 0.2388], [0.0000, 0.0000, 0.0000]],
  "e_tot_ev_per_cell": -32.1,
  "crystal_system": "trigonal",
  "n_ef_per_ev_fu": 11.87
}

=====

{
  "formula": "NaInSi3",
  "functional": "PBE-GGA",
  "state": "optimized geometry",
  "cell": [[5.0122, 0.0000, 0.0000], [0.0000, 5.0122, 0.0000], [0.0000, 0.0000, 5.0122]],
  "species": ["Na", "In", "Si", "Si", "Si"],
  "frac_coords": [[0.0000, 0.0000, 0.0000], [0.5000, 0.5000, 0.5000], [0.0000, 0.0000, 0.5000], [0.0000, 0.5000, 0.0000], [0.5000, 0.0000, 0.0000]],
  "e_tot_ev_per_cell": -13.7,
  "crystal_system": "cubic",
  "n_ef_per_ev_fu": 3.15,
  "raw_formation_energy_ev_per_fu": 6.616
}

=====

Q: What is the formula in the first record?
A: Ce2AsH2Cl

=====

Q: Which formula does entry 2 have?
A: NaInSi3